VASP calculation (PBE-GGA) on a geometry-optimized MnPCBr structure.

abc: 3.055 3.398 7.542
angles: 83.84 89.83 89.99
Atoms (fractional coordinates):
Mn1 0.000 0.000 0.000
P1 0.498 0.245 0.240
C1 0.998 0.490 0.156
Br1 0.005 0.578 0.755

## Properties
Raw formation energy (eV per atom): 0.255
E above lowest polymorph (meV per atom): 0
D(E_F) (states/eV/f.u.): 0.8
Total DFT energy (no corrections) (eV for the cell shown): -24.46
Density (g/cm³): 3.8
V (Å³/atom): 19.46